# 1
Material: Ca2ZnPt
Method: DFT, SCAN
State: PBEsol geometry

Cell lengths 4.278, 4.138, 10.656 Å; angles 90.00, 90.00, 90.00 degrees
Fractional positions:
Ca (0.000, 0.000, 0.000)
Ca (0.000, 0.500, 0.500)
Ca (0.500, 0.000, 0.286)
Ca (0.500, 0.500, 0.786)
Zn (0.500, 0.000, 0.581)
Zn (0.500, 0.500, 0.081)
Pt (0.000, 0.000, 0.709)
Pt (0.000, 0.500, 0.209)

Properties
The space group is Amm2. For the total energy, the calculation gives -26.52 eV/atom. Its formation energy is -3.1 eV per formula unit. For the density of states at the Fermi level, the calculation gives 3.8 states/eV/cell.

***

# 2
Material: CaZn2Pt2
Method: DFT, SCAN
State: PBEsol geometry

Cell lengths 7.576, 7.576, 2.856 Å; angles 90.00, 90.00, 90.00 degrees
Fractional positions:
Ca (0.000, 0.000, 0.000)
Ca (0.500, 0.500, 0.000)
Zn (0.136, 0.364, 0.500)
Zn (0.364, 0.864, 0.500)
Zn (0.636, 0.136, 0.500)
Zn (0.864, 0.636, 0.500)
Pt (0.159, 0.659, 0.000)
Pt (0.341, 0.159, 0.000)
Pt (0.659, 0.841, 0.000)
Pt (0.841, 0.341, 0.000)

Properties
The space group is P4/mbm. For the total energy, the calculation gives -36.11 eV/atom. Its formation energy is -3.5 eV per formula unit. For the density of states at the Fermi level, the calculation gives 2.4 states/eV/cell. Its energy above the lowest structure with this stoichiometry is 24.0 meV/atom.

***

# 3
Material: CaZn2Pt
Method: DFT, SCAN
State: PBEsol geometry

Cell lengths 3.307, 3.318, 6.532 Å; angles 90.00, 90.00, 90.00 degrees
Fractional positions:
Ca (0.000, 0.000, 0.000)
Zn (0.000, 0.000, 0.469)
Zn (0.500, 0.500, 0.680)
Pt (0.500, 0.500, 0.284)

Properties
The space group is Pmm2. For the total energy, the calculation gives -27.18 eV/atom. Its formation energy is -1.8 eV per formula unit. For the density of states at the Fermi level, the calculation gives 1.3 states/eV/cell.

***

# 4
Material: CaZnPt
Method: DFT, SCAN
State: PBEsol geometry

Cell lengths 4.308, 4.308, 3.790 Å; angles 90.00, 90.00, 120.00 degrees
Fractional positions:
Ca (0.000, 0.000, 0.000)
Zn (0.667, 0.333, 0.500)
Pt (0.333, 0.667, 0.500)

Properties
The space group is P-6m2. For the total energy, the calculation gives -31.96 eV/atom. Its formation energy is -2.5 eV per formula unit. For the density of states at the Fermi level, the calculation gives 1.1 states/eV/cell.

***

# 5
Material: Ca2ZnPt
Method: DFT, SCAN
State: PBEsol geometry

Cell lengths 3.520, 3.520, 7.013 Å; angles 90.00, 90.00, 90.00 degrees
Fractional positions:
Ca (0.000, 0.000, 0.233)
Ca (0.000, 0.000, 0.767)
Zn (0.500, 0.500, 0.500)
Pt (0.500, 0.500, 0.000)

Properties
The space group is P4/mmm. For the total energy, the calculation gives -26.40 eV/atom. Its formation energy is -2.6 eV per formula unit. For the density of states at the Fermi level, the calculation gives 2.2 states/eV/cell.

***

# 6
Material: CaZnPt
Method: DFT, SCAN
State: PBEsol geometry

Cell lengths 4.132, 10.221, 5.494 Å; angles 90.00, 90.00, 90.00 degrees
Fractional positions:
Ca (0.000, 0.212, 0.250)
Ca (0.000, 0.788, 0.750)
Ca (0.500, 0.288, 0.750)
Ca (0.500, 0.712, 0.250)
Zn (0.000, 0.500, 0.000)
Zn (0.000, 0.500, 0.500)
Zn (0.500, 0.000, 0.000)
Zn (0.500, 0.000, 0.500)
Pt (0.000, 0.074, 0.750)
Pt (0.000, 0.926, 0.250)
Pt (0.500, 0.426, 0.250)
Pt (0.500, 0.574, 0.750)

Properties
The space group is Cmcm. For the total energy, the calculation gives -31.98 eV/atom. Its formation energy is -2.6 eV per formula unit. For the density of states at the Fermi level, the calculation gives 4.4 states/eV/cell.